Entry from Alexandria via LeMat-Bulk: Ca4Br after structural relaxation (PBEsol).

ρ	2054	kg/m3
total energy	-2.194	eV/atom
volume	38.83	A^3/atom
energy relative to the elements, uncorrected	-0.113	eV/atom

Lattice parameters (Å, degrees): 4.4236 4.4236 10.4036 102.27 102.27 90.00
Last column: nearest neighbours and their distance in Å.
Fractional coordinates of all 5 atoms:
Ca: 0.2500 0.7500 0.5000  4 Ca 3.13
Ca: 0.5951 0.5951 0.1902  4 Br 3.65, 5 Ca 3.78-3.79
Ca: 0.4049 0.4049 0.8098  4 Br 3.65, 5 Ca 3.78-3.79
Ca: 0.7500 0.2500 0.5000  4 Ca 3.13
Br: 0.0000 0.0000 0.0000  8 Ca 3.65